(1)
Pr3Hg2Pd: optimized geometry, PBE.

Unit cell a=3.8004 b=3.8004 c=11.3305 alpha=90.00 beta=90.00 gamma=90.00
Closest atoms and distances in Å follow each position.
Sites, in units of the cell vectors:
Pr: 0.0000 0.0000 0.0000  8 Hg 3.32
Pr: 0.0000 0.0000 0.6520  4 Pd 3.19, 4 Hg 3.35, 1 Pr 3.44
Pr: 0.0000 0.0000 0.3481  4 Pd 3.19, 4 Hg 3.35, 1 Pr 3.44
Hg: 0.5000 0.5000 0.8284  8 Pr 3.32-3.35
Hg: 0.5000 0.5000 0.1716  8 Pr 3.32-3.35
Pd: 0.5000 0.5000 0.5000  8 Pr 3.19

- Space group: P4/mmm, No. 123
- ΔE_f: -549 meV per atom
- DOS(E_F): 5.4 states/eV/f.u.
- M_tot: 0.17 μB per cell
- Energy above the most stable polymorph in this dataset: 0.0 meV/atom

(2)
Pr2HgPd: optimized geometry, PBE.

Unit cell a=4.1281 b=4.1281 c=8.4161 alpha=75.80 beta=75.80 gamma=60.00
Closest atoms and distances in Å follow each position.
Sites, in units of the cell vectors:
Pr: 0.2611 0.2611 0.2167  3 Pd 2.96, 3 Hg 3.30
Pr: 0.7389 0.7389 0.7833  3 Pd 2.96, 3 Hg 3.30
Hg: 0.5000 0.5000 0.5000  6 Pr 3.30
Pd: 0.0000 0.0000 0.0000  6 Pr 2.96

- Space group: R-3m, No. 166
- ΔE_f: -505 meV per atom
- DOS(E_F): 3.4 states/eV/f.u.
- M_tot: 0.00 μB per cell
- Energy above the most stable polymorph in this dataset: 79.7 meV/atom